1.
# FeCu2Br | the Alexandria database | meta-GGA SCAN | single point on PBEsol structure
# Energy relative to the lowest polymorph listed for this composition: 108 meV per atom
data_FeCu2Br
_space_group_name_H-M_alt 'P 1'
_space_group_IT_number 1
_space_group_name_Hall 'P 1'
_cell_length_a 2.985
_cell_length_b 4.163
_cell_length_c 5.183
_cell_angle_alpha 113.68
_cell_angle_beta 106.74
_cell_angle_gamma 90.00
loop_
_atom_site_label
_atom_site_fract_x
_atom_site_fract_y
_atom_site_fract_z
Br1 0.000 0.500 0.000
Cu1 0.755 0.755 0.511
Cu2 0.245 0.245 0.489
Fe1 0.500 0.000 0.000

***

2.
FeCuBr2: single point on PBEsol structure, meta-GGA SCAN.

CIF file:
```
data_FeCuBr2
_space_group_name_H-M_alt 'P 1'
_space_group_IT_number 1
_space_group_name_Hall 'P 1'
_cell_length_a 3.377
_cell_length_b 3.377
_cell_length_c 6.924
_cell_angle_alpha 90.00
_cell_angle_beta 90.00
_cell_angle_gamma 101.75
loop_
_atom_site_label
_atom_site_fract_x
_atom_site_fract_y
_atom_site_fract_z
Br1 0.000 0.000 0.086
Br2 0.500 0.500 0.651
Cu1 0.000 0.000 0.472
Fe1 0.500 0.500 0.291
```

***

3.
# FeCu2Br | the Alexandria database | meta-GGA SCAN | single point on PBEsol structure
# Energy relative to the lowest polymorph listed for this composition: 0 meV per atom
data_FeCu2Br
_space_group_name_H-M_alt 'P 1'
_space_group_IT_number 1
_space_group_name_Hall 'P 1'
_cell_length_a 2.959
_cell_length_b 2.959
_cell_length_c 7.964
_cell_angle_alpha 79.29
_cell_angle_beta 79.29
_cell_angle_gamma 60.00
loop_
_atom_site_label
_atom_site_fract_x
_atom_site_fract_y
_atom_site_fract_z
Br1 0.000 0.000 0.000
Cu1 0.245 0.245 0.266
Cu2 0.755 0.755 0.734
Fe1 0.500 0.500 0.500

***

4.
Fe2Cu2Br: single point on PBEsol structure, meta-GGA SCAN.

CIF file:
```
data_Fe2Cu2Br
_space_group_name_H-M_alt 'P 1'
_space_group_IT_number 1
_space_group_name_Hall 'P 1'
_cell_length_a 3.349
_cell_length_b 3.349
_cell_length_c 6.777
_cell_angle_alpha 104.31
_cell_angle_beta 104.31
_cell_angle_gamma 90.00
loop_
_atom_site_label
_atom_site_fract_x
_atom_site_fract_y
_atom_site_fract_z
Cu1 0.250 0.750 0.500
Cu2 0.750 0.250 0.500
Br1 0.000 0.000 0.000
Fe1 0.399 0.399 0.797
Fe2 0.601 0.601 0.203
```

***

Ordered ΔE_f (raw) results: 635 18 527 493; unit meV/atom.
Ordered calculated volume results: 56 77 59 71; unit Å³/cell.
Ordered magnetization results: 3.07 3.04 3.23 6.57; unit μB per formula unit.